VASP calculation (GGA-PBE) on Ca8Si2H after structural relaxation.

It has space group C2/m (No. 12), with a = 19.836 Å, b = 4.353 Å, c = 7.875 Å, α = 90.00°, β = 90.64° and γ = 90.00°. The asymmetric unit holds Ca at (0.000, 0.000, 0.232), Ca at (0.108, 0.500, 0.489), Ca at (0.126, 0.500, 0.016), Ca at (0.230, 0.000, 0.708), Si at (0.165, 0.000, 0.268) and H at (0.000, 0.500, 0.000).

As for the density: 1.85 g/cm³. The total energy is -64.97 eV/cell. As for the total magnetization: 0.000 μB per atom.